VASP calculation (PBE-GGA) on an optimized crystal structure of AsPd2.

Calculated values
Electronic total energy   -14.27 eV/f.u.

a = 7.4201 Å, b = 7.4201 Å, c = 7.4201 Å
α = 90.00°, β = 90.00°, γ = 90.00°
With the nearest neighbours (Å) after each atom.
Space group Fd-3m (No. 227, origin choice 2)
Symmetry-distinct sites (fractional):
As (0.1250, 0.1250, 0.1250) [8 per cell]  12 Pd 3.08, 4 As 3.21
Pd (0.0000, 0.0000, 0.5000) [16 per cell]  6 Pd 2.62